Record 1
Entry from Alexandria: a geometry-optimized Mg5H2Ir3 structure (PBE-GGA).

The structure belongs to space group P1 (No. 1); the cell edges are 4.5588, 4.5787 and 7.8993 Å and the angles 74.44°, 74.09° and 61.24°. The distinct sites, in fractional coordinates, are Mg at (0.0000, 0.0000, 0.0000), Mg at (0.1148, 0.1494, 0.6115), Mg at (0.3801, 0.3840, 0.8641), Mg at (0.6179, 0.6182, 0.1364), Mg at (0.8539, 0.8849, 0.3883), H at (0.6005, 0.1403, 0.6299), H at (0.8621, 0.4020, 0.3703), Ir at (0.2699, 0.2381, 0.2343), Ir at (0.4583, 0.5428, 0.5006) and Ir at (0.7588, 0.7353, 0.7653).

The crystal system is triclinic. As for the relative energy among the computed polymorphs: 35 meV/atom. The theoretical density is 8.48 Mg/m³.

---

Record 2
Entry from Alexandria: a geometry-optimized MgH2Ir structure (PBE-GGA).

The structure belongs to space group P1 (No. 1); the cell edges are 3.0989, 3.4505 and 7.8041 Å and the angles 102.62°, 101.33° and 90.01°. The distinct sites, in fractional coordinates, are Mg at (0.0000, 0.0000, 0.0000), Mg at (0.2207, 0.2178, 0.4415), H at (0.3751, 0.8730, 0.7541), H at (0.4987, 0.4964, 0.9943), H at (0.6221, 0.1171, 0.2383), H at (0.8457, 0.3434, 0.6958), Ir at (0.6074, 0.6057, 0.2154) and Ir at (0.8167, 0.8141, 0.6360).

The crystal system is triclinic. The theoretical density is 9.10 Mg/m³. The total energy comes out at -4.5418 eV per atom.

---

Record 3
Entry from Alexandria: a geometry-optimized Mg4H3Ir structure (PBE-GGA).

The structure belongs to space group P1 (No. 1); the cell edges are 3.0871, 6.2607 and 6.2836 Å and the angles 100.59°, 104.10° and 104.22°. The distinct sites, in fractional coordinates, are Mg at (0.0000, 0.0000, 0.0000), Mg at (0.0969, 0.5654, 0.6264), Mg at (0.3416, 0.5860, 0.1017), Mg at (0.7421, 0.9925, 0.4891), H at (0.4047, 0.2771, 0.5309), H at (0.5380, 0.6384, 0.4335), H at (0.6932, 0.2964, 0.0915) and Ir at (0.5437, 0.2798, 0.8081).

The crystal system is triclinic. As for the relative energy among the computed polymorphs: 38 meV/atom. The theoretical density is 4.40 Mg/m³.

---

Record 4
Entry from Alexandria: a geometry-optimized Mg5HIr2 structure (PBE-GGA).

The structure belongs to space group P-1 (No. 2); the cell edges are 4.6114, 4.6150 and 7.3284 Å and the angles 72.84°, 71.82° and 60.22°. The distinct sites, in fractional coordinates, are Mg at (0.0000, 0.0000, 0.0000), Mg at (0.1365, 0.1441, 0.5838), Mg at (0.4021, 0.4251, 0.7753), H at (0.5000, 0.0000, 0.0000) and Ir at (0.2706, 0.2602, 0.1905).

The crystal system is triclinic. As for the relative energy among the computed polymorphs: 3 meV/atom. The theoretical density is 6.64 Mg/m³.

---

Repeat the third record exactly.
Entry from Alexandria: a geometry-optimized Mg4H3Ir structure (PBE-GGA).

The structure belongs to space group P1 (No. 1); the cell edges are 3.0871, 6.2607 and 6.2836 Å and the angles 100.59°, 104.10° and 104.22°. The distinct sites, in fractional coordinates, are Mg at (0.0000, 0.0000, 0.0000), Mg at (0.0969, 0.5654, 0.6264), Mg at (0.3416, 0.5860, 0.1017), Mg at (0.7421, 0.9925, 0.4891), H at (0.4047, 0.2771, 0.5309), H at (0.5380, 0.6384, 0.4335), H at (0.6932, 0.2964, 0.0915) and Ir at (0.5437, 0.2798, 0.8081).

The crystal system is triclinic. As for the relative energy among the computed polymorphs: 38 meV/atom. The theoretical density is 4.40 Mg/m³.